(1)
Compound: NdEr3In2
Source: the Alexandria database
Functional: PBE-GGA
Structure: relaxed

CIF file:
```
data_NdEr3In2
_symmetry_space_group_name_H-M 'P 1'
_symmetry_Int_Tables_number 1
_cell_length_a 5.3639
_cell_length_b 9.1975
_cell_length_c 9.2044
_cell_angle_alpha 124.60
_cell_angle_beta 90.00
_cell_angle_gamma 106.95
loop_
_symmetry_equiv_pos_as_xyz
'x,y,z'
loop_
_atom_site_label
_atom_site_type_symbol
_atom_site_fract_x
_atom_site_fract_y
_atom_site_fract_z
Nd1 Nd 0.8682 0.7363 0.9065
Nd2 Nd 0.1318 0.2637 0.0935
Er1 Er 0.3072 0.6144 0.6046
Er2 Er 0.9401 0.8801 0.5945
Er3 Er 0.6152 0.2305 0.6878
Er4 Er 0.3848 0.7695 0.3122
Er5 Er 0.0599 0.1199 0.4055
Er6 Er 0.6928 0.3856 0.3954
In1 In 0.5194 0.0387 0.8699
In2 In 0.4806 0.9613 0.1301
In3 In 0.7738 0.5477 0.1420
In4 In 0.2262 0.4523 0.8580
```

Computed properties:
calculated total energy: -4.237 eV/atom
E above lowest polymorph: 33 meV/atom
ΔE_f: -1.49 eV per formula unit
spin magnetization: 0.84 Bohr magnetons per cell

---

(2)
Compound: NdEr4In2
Source: the Alexandria database
Functional: PBE-GGA
Structure: relaxed

CIF file:
```
data_NdEr4In2
_symmetry_space_group_name_H-M 'P 1'
_symmetry_Int_Tables_number 1
_cell_length_a 5.0638
_cell_length_b 9.2091
_cell_length_c 9.2091
_cell_angle_alpha 90.00
_cell_angle_beta 90.00
_cell_angle_gamma 90.00
loop_
_symmetry_equiv_pos_as_xyz
'x,y,z'
loop_
_atom_site_label
_atom_site_type_symbol
_atom_site_fract_x
_atom_site_fract_y
_atom_site_fract_z
Nd1 Nd 0.5000 0.0000 0.0000
Nd2 Nd 0.0000 0.5000 0.5000
Er1 Er 0.0000 0.1083 0.3588
Er2 Er 0.0000 0.8917 0.6412
Er3 Er 0.5000 0.1412 0.6083
Er4 Er 0.5000 0.8588 0.3917
Er5 Er 0.5000 0.3917 0.8588
Er6 Er 0.5000 0.6083 0.1412
Er7 Er 0.0000 0.3588 0.1083
Er8 Er 0.0000 0.6412 0.8917
In1 In 0.0000 0.1952 0.8048
In2 In 0.0000 0.8048 0.1952
In3 In 0.5000 0.6952 0.6952
In4 In 0.5000 0.3048 0.3048
```

Computed properties:
calculated total energy: -4.245 eV/atom
ΔE_f: -1.22 eV per formula unit
spin magnetization: 0.00 Bohr magnetons per cell

---

(3)
Compound: Nd6Er8In
Source: the Alexandria database
Functional: PBE-GGA
Structure: relaxed

CIF file:
```
data_Nd6Er8In
_symmetry_space_group_name_H-M 'P 1'
_symmetry_Int_Tables_number 1
_cell_length_a 6.3631
_cell_length_b 9.4404
_cell_length_c 9.4404
_cell_angle_alpha 120.00
_cell_angle_beta 90.00
_cell_angle_gamma 90.00
loop_
_symmetry_equiv_pos_as_xyz
'x,y,z'
loop_
_atom_site_label
_atom_site_type_symbol
_atom_site_fract_x
_atom_site_fract_y
_atom_site_fract_z
Nd1 Nd 0.6853 0.6396 0.0893
Nd2 Nd 0.6853 0.9107 0.5502
Nd3 Nd 0.6853 0.4498 0.3604
Nd4 Nd 0.3147 0.3604 0.9107
Nd5 Nd 0.3147 0.0893 0.4498
Nd6 Nd 0.3147 0.5502 0.6396
Er1 Er 0.8118 0.0392 0.2626
Er2 Er 0.8118 0.7374 0.7766
Er3 Er 0.8118 0.2234 0.9608
Er4 Er 0.1882 0.9608 0.7374
Er5 Er 0.1882 0.2626 0.2234
Er6 Er 0.1882 0.7766 0.0392
Er7 Er 0.8281 0.3333 0.6667
Er8 Er 0.1719 0.6667 0.3333
In1 In 0.5000 0.0000 0.0000
```

Computed properties:
calculated total energy: -4.455 eV/atom
ΔE_f: 1.03 eV per formula unit
spin magnetization: 0.00 Bohr magnetons per cell

---

(4)
Compound: Nd7Er2In2
Source: the Alexandria database
Functional: PBE-GGA
Structure: relaxed

CIF file:
```
data_Nd7Er2In2
_symmetry_space_group_name_H-M 'P 1'
_symmetry_Int_Tables_number 1
_cell_length_a 3.6861
_cell_length_b 10.6894
_cell_length_c 10.6894
_cell_angle_alpha 63.86
_cell_angle_beta 80.07
_cell_angle_gamma 80.07
loop_
_symmetry_equiv_pos_as_xyz
'x,y,z'
loop_
_atom_site_label
_atom_site_type_symbol
_atom_site_fract_x
_atom_site_fract_y
_atom_site_fract_z
Nd1 Nd 0.8220 0.0236 0.3323
Nd2 Nd 0.8500 0.4673 0.8326
Nd3 Nd 0.5000 0.0347 0.9653
Nd4 Nd 0.6049 0.4922 0.2980
Nd5 Nd 0.3951 0.7020 0.5078
Nd6 Nd 0.1780 0.6677 0.9764
Nd7 Nd 0.1500 0.1674 0.5327
Er1 Er 0.7253 0.8583 0.6911
Er2 Er 0.2747 0.3089 0.1417
In1 In 0.0000 0.7910 0.2090
In2 In 0.5000 0.3407 0.6593
```

Computed properties:
calculated total energy: -4.400 eV/atom
ΔE_f: -0.42 eV per formula unit
spin magnetization: 0.00 Bohr magnetons per cell

---

(5)
Compound: NdEr2In3
Source: the Alexandria database
Functional: PBE-GGA
Structure: relaxed

CIF file:
```
data_NdEr2In3
_symmetry_space_group_name_H-M 'P 1'
_symmetry_Int_Tables_number 1
_cell_length_a 3.7508
_cell_length_b 3.7508
_cell_length_c 11.5146
_cell_angle_alpha 90.00
_cell_angle_beta 90.00
_cell_angle_gamma 90.00
loop_
_symmetry_equiv_pos_as_xyz
'x,y,z'
loop_
_atom_site_label
_atom_site_type_symbol
_atom_site_fract_x
_atom_site_fract_y
_atom_site_fract_z
Nd1 Nd 0.5000 0.5000 0.5000
Er1 Er 0.5000 0.5000 0.8393
Er2 Er 0.5000 0.5000 0.1607
In1 In 0.0000 0.0000 0.0000
In2 In 0.0000 0.0000 0.6794
In3 In 0.0000 0.0000 0.3206
```

Computed properties:
calculated total energy: -4.147 eV/atom
ΔE_f: -2.77 eV per formula unit
spin magnetization: 0.00 Bohr magnetons per cell

---

(6)
Compound: Nd3Er5In2
Source: the Alexandria database
Functional: PBE-GGA
Structure: relaxed

CIF file:
```
data_Nd3Er5In2
_symmetry_space_group_name_H-M 'P 1'
_symmetry_Int_Tables_number 1
_cell_length_a 6.3995
_cell_length_b 10.6014
_cell_length_c 10.6014
_cell_angle_alpha 94.88
_cell_angle_beta 72.43
_cell_angle_gamma 72.43
loop_
_symmetry_equiv_pos_as_xyz
'x,y,z'
loop_
_atom_site_label
_atom_site_type_symbol
_atom_site_fract_x
_atom_site_fract_y
_atom_site_fract_z
Nd1 Nd 0.2500 0.0000 0.0000
Nd2 Nd 0.7500 0.0000 0.0000
Nd3 Nd 0.3836 0.3551 0.8778
Nd4 Nd 0.6164 0.6449 0.1222
Nd5 Nd 0.8836 0.8778 0.3551
Nd6 Nd 0.1164 0.1222 0.6449
Er1 Er 0.2500 0.5000 0.5000
Er2 Er 0.7500 0.5000 0.5000
Er3 Er 0.5037 0.7463 0.7463
Er4 Er 0.9963 0.2537 0.2537
Er5 Er 0.4963 0.2537 0.2537
Er6 Er 0.0037 0.7463 0.7463
Er7 Er 0.1232 0.5394 0.2141
Er8 Er 0.8768 0.4606 0.7859
Er9 Er 0.6232 0.2141 0.5394
Er10 Er 0.3768 0.7859 0.4606
In1 In 0.1391 0.7134 0.0083
In2 In 0.8609 0.2866 0.9917
In3 In 0.6391 0.0083 0.7134
In4 In 0.3609 0.9917 0.2866
```

Computed properties:
calculated total energy: -4.213 eV/atom
ΔE_f: 0.46 eV per formula unit
spin magnetization: 0.00 Bohr magnetons per cell

---

(7)
Compound: Nd4ErIn3
Source: the Alexandria database
Functional: PBE-GGA
Structure: relaxed

CIF file:
```
data_Nd4ErIn3
_symmetry_space_group_name_H-M 'P 1'
_symmetry_Int_Tables_number 1
_cell_length_a 5.5004
_cell_length_b 5.5004
_cell_length_c 9.7063
_cell_angle_alpha 73.54
_cell_angle_beta 73.54
_cell_angle_gamma 60.00
loop_
_symmetry_equiv_pos_as_xyz
'x,y,z'
loop_
_atom_site_label
_atom_site_type_symbol
_atom_site_fract_x
_atom_site_fract_y
_atom_site_fract_z
In1 In 0.2587 0.2587 0.2238
In2 In 0.7413 0.7413 0.7762
In3 In 0.5000 0.5000 0.5000
Nd1 Nd 0.8696 0.8696 0.3912
Nd2 Nd 0.3816 0.3816 0.8552
Nd3 Nd 0.1304 0.1304 0.6088
Nd4 Nd 0.6184 0.6184 0.1448
Er1 Er 0.0000 0.0000 0.0000
```

Computed properties:
calculated total energy: -4.308 eV/atom
E above lowest polymorph: 21 meV/atom
ΔE_f: -2.62 eV per formula unit
spin magnetization: 0.02 Bohr magnetons per cell

---

(8)
Compound: Nd2Er8In
Source: the Alexandria database
Functional: PBE-GGA
Structure: relaxed

CIF file:
```
data_Nd2Er8In
_symmetry_space_group_name_H-M 'P 1'
_symmetry_Int_Tables_number 1
_cell_length_a 4.9294
_cell_length_b 7.8306
_cell_length_c 9.3174
_cell_angle_alpha 104.65
_cell_angle_beta 105.34
_cell_angle_gamma 90.00
loop_
_symmetry_equiv_pos_as_xyz
'x,y,z'
loop_
_atom_site_label
_atom_site_type_symbol
_atom_site_fract_x
_atom_site_fract_y
_atom_site_fract_z
Nd1 Nd 0.7785 0.3652 0.5570
Nd2 Nd 0.2215 0.6348 0.4430
Er1 Er 0.4113 0.5563 0.8227
Er2 Er 0.6803 0.9090 0.3605
Er3 Er 0.8669 0.8269 0.7338
Er4 Er 0.9561 0.2756 0.9121
Er5 Er 0.1331 0.1731 0.2662
Er6 Er 0.3197 0.0910 0.6395
Er7 Er 0.5887 0.4437 0.1773
Er8 Er 0.0439 0.7244 0.0879
In1 In 0.5000 0.0000 0.0000
```

Computed properties:
calculated total energy: -4.491 eV/atom
ΔE_f: -0.63 eV per formula unit
spin magnetization: 0.00 Bohr magnetons per cell

---

(9)
Compound: Nd3Er4In
Source: the Alexandria database
Functional: PBE-GGA
Structure: relaxed

CIF file:
```
data_Nd3Er4In
_symmetry_space_group_name_H-M 'P 1'
_symmetry_Int_Tables_number 1
_cell_length_a 6.2178
_cell_length_b 7.0929
_cell_length_c 11.2712
_cell_angle_alpha 90.00
_cell_angle_beta 90.00
_cell_angle_gamma 90.00
loop_
_symmetry_equiv_pos_as_xyz
'x,y,z'
loop_
_atom_site_label
_atom_site_type_symbol
_atom_site_fract_x
_atom_site_fract_y
_atom_site_fract_z
Nd1 Nd 0.6255 0.6278 0.0000
Nd2 Nd 0.9734 0.6164 0.2375
Nd3 Nd 0.4734 0.3836 0.2625
Nd4 Nd 0.1255 0.3722 0.5000
Nd5 Nd 0.4734 0.3836 0.7375
Nd6 Nd 0.9734 0.6164 0.7625
Er1 Er 0.1662 0.8816 0.0000
Er2 Er 0.6476 0.1276 0.0000
Er3 Er 0.9883 0.1224 0.2401
Er4 Er 0.4883 0.8776 0.2599
Er5 Er 0.1476 0.8724 0.5000
Er6 Er 0.6662 0.1184 0.5000
Er7 Er 0.4883 0.8776 0.7401
Er8 Er 0.9883 0.1224 0.7599
In1 In 0.1524 0.3581 0.0000
In2 In 0.6524 0.6419 0.5000
```

Computed properties:
calculated total energy: -4.524 eV/atom
E above lowest polymorph: 0 meV/atom
ΔE_f: -0.90 eV per formula unit
spin magnetization: 0.00 Bohr magnetons per cell

---

(10)
Compound: NdEr7In2
Source: the Alexandria database
Functional: PBE-GGA
Structure: relaxed

CIF file:
```
data_NdEr7In2
_symmetry_space_group_name_H-M 'P 1'
_symmetry_Int_Tables_number 1
_cell_length_a 5.5010
_cell_length_b 8.8159
_cell_length_c 8.8159
_cell_angle_alpha 118.05
_cell_angle_beta 90.00
_cell_angle_gamma 90.00
loop_
_symmetry_equiv_pos_as_xyz
'x,y,z'
loop_
_atom_site_label
_atom_site_type_symbol
_atom_site_fract_x
_atom_site_fract_y
_atom_site_fract_z
Nd1 Nd 0.0000 0.0000 0.0000
Er1 Er 0.0000 0.7660 0.2340
Er2 Er 0.0000 0.2340 0.7660
Er3 Er 0.5000 0.0580 0.3037
Er4 Er 0.5000 0.9420 0.6963
Er5 Er 0.5000 0.3037 0.0580
Er6 Er 0.5000 0.6963 0.9420
Er7 Er 0.5000 0.5000 0.5000
In1 In 0.5000 0.6972 0.3028
In2 In 0.5000 0.3028 0.6972
```

Computed properties:
calculated total energy: -3.869 eV/atom
ΔE_f: 3.50 eV per formula unit
spin magnetization: 1.49 Bohr magnetons per cell

---

Among the records above, which one has the highest ΔE_f? NdEr7In2

---

What is the ΔE_f in the second record? -1.22 eV per formula unit

---

Copy entry 2 word for word.
Compound: NdEr4In2
Source: the Alexandria database
Functional: PBE-GGA
Structure: relaxed

CIF file:
```
data_NdEr4In2
_symmetry_space_group_name_H-M 'P 1'
_symmetry_Int_Tables_number 1
_cell_length_a 5.0638
_cell_length_b 9.2091
_cell_length_c 9.2091
_cell_angle_alpha 90.00
_cell_angle_beta 90.00
_cell_angle_gamma 90.00
loop_
_symmetry_equiv_pos_as_xyz
'x,y,z'
loop_
_atom_site_label
_atom_site_type_symbol
_atom_site_fract_x
_atom_site_fract_y
_atom_site_fract_z
Nd1 Nd 0.5000 0.0000 0.0000
Nd2 Nd 0.0000 0.5000 0.5000
Er1 Er 0.0000 0.1083 0.3588
Er2 Er 0.0000 0.8917 0.6412
Er3 Er 0.5000 0.1412 0.6083
Er4 Er 0.5000 0.8588 0.3917
Er5 Er 0.5000 0.3917 0.8588
Er6 Er 0.5000 0.6083 0.1412
Er7 Er 0.0000 0.3588 0.1083
Er8 Er 0.0000 0.6412 0.8917
In1 In 0.0000 0.1952 0.8048
In2 In 0.0000 0.8048 0.1952
In3 In 0.5000 0.6952 0.6952
In4 In 0.5000 0.3048 0.3048
```

Computed properties:
calculated total energy: -4.245 eV/atom
ΔE_f: -1.22 eV per formula unit
spin magnetization: 0.00 Bohr magnetons per cell

---

What is the formula in the ninth record? Nd3Er4In